<P>
This record from Alexandria via LeMat-Bulk describes Sc3C at its PBEsol-relaxed geometry. The functional is meta-GGA SCAN.

a = 3.0745 Å, b = 8.9254 Å, c = 5.4693 Å
α = 90.00°, β = 90.00°, γ = 90.00°
Closest atoms and distances in Å follow each position.
Space group Imm2 (No. 44)
Symmetry-distinct sites (fractional):
Sc: 0.0000 0.0000 0.0000 (multiplicity 2)  2 C 2.23
Sc: 0.0000 0.1668 0.5383 (multiplicity 4)  2 C 2.33
C: 0.0000 0.5000 0.2051 (multiplicity 2)  6 Sc 2.23-2.33

The mass density comes out at 3.25 g/cm3.

<Q>
This record from Alexandria via LeMat-Bulk describes Sc3C at its PBEsol-relaxed geometry. The functional is meta-GGA SCAN.

a = 3.2784 Å, b = 3.2784 Å, c = 24.6323 Å
α = 90.00°, β = 90.00°, γ = 120.00°
Closest atoms and distances in Å follow each position.
Space group R-3m (No. 166, hexagonal axes)
Symmetry-distinct sites (fractional):
Sc: 0.0000 0.0000 0.0000 (multiplicity 3)  12 Sc 3.28-3.45
Sc: 0.0000 0.0000 0.2164 (multiplicity 6)  3 C 2.25
C: 0.0000 0.0000 0.5000 (multiplicity 3)  6 Sc 2.25

The mass density comes out at 3.19 g/cm3.

If you had to name the least stable structure above, which would it be? It would be <P>.